1.
BeSb2RuI: optimized geometry, PBE-GGA.

Total moment in Bohr magnetons per cell: 0.000
Offset from the most stable computed form in eV/atom: 0.000
Uncorrected energy in eV for the cell shown: -18.37
Calculated volume in Å³/cell: 145.75
E_form (uncorrected) in eV/atom: 0.89
Fermi-level density of states in states/eV per cell: 4.42
Crystal system: tetragonal
Space-group type: P4/mmm, No. 123

Cell: 5.041 5.041 5.735 Å, 90.00 90.00 90.00°
Fractional coordinates of all 5 atoms:
Be 0.000 0.000 0.000
Sb 0.000 0.500 0.500
Sb 0.500 0.000 0.500
Ru 0.500 0.500 0.500
I 0.500 0.500 0.000

2.
BeSb2RuI: optimized geometry, PBE-GGA.

Total moment in Bohr magnetons per cell: 0.000
Offset from the most stable computed form in eV/atom: 0.179
Uncorrected energy in eV for the cell shown: -17.47
Calculated volume in Å³/cell: 113.57
E_form (uncorrected) in eV/atom: 1.06
Fermi-level density of states in states/eV per cell: 4.61
Crystal system: tetragonal
Space-group type: P4/mmm, No. 123

Cell: 4.722 4.722 5.094 Å, 90.00 90.00 90.00°
Fractional coordinates of all 5 atoms:
Be 0.000 0.000 0.000
Sb 0.000 0.500 0.000
Sb 0.500 0.000 0.000
Ru 0.500 0.500 0.500
I 0.000 0.000 0.500

3.
BeVRu2I: optimized geometry, PBE-GGA.

Total moment in Bohr magnetons per cell: 0.000
Uncorrected energy in eV for the cell shown: -22.99
Calculated volume in Å³/cell: 106.85
E_form (uncorrected) in eV/atom: 1.99
Fermi-level density of states in states/eV per cell: 7.72
Crystal system: tetragonal
Space-group type: P4/mmm, No. 123

Cell: 4.776 4.776 4.684 Å, 90.00 90.00 90.00°
Fractional coordinates of all 5 atoms:
Be 0.000 0.000 0.000
V 0.500 0.500 0.000
Ru 0.000 0.500 0.500
Ru 0.500 0.000 0.500
I 0.500 0.500 0.500

Copy entry 3 word for word.
BeVRu2I: optimized geometry, PBE-GGA.

Total moment in Bohr magnetons per cell: 0.000
Uncorrected energy in eV for the cell shown: -22.99
Calculated volume in Å³/cell: 106.85
E_form (uncorrected) in eV/atom: 1.99
Fermi-level density of states in states/eV per cell: 7.72
Crystal system: tetragonal
Space-group type: P4/mmm, No. 123

Cell: 4.776 4.776 4.684 Å, 90.00 90.00 90.00°
Fractional coordinates of all 5 atoms:
Be 0.000 0.000 0.000
V 0.500 0.500 0.000
Ru 0.000 0.500 0.500
Ru 0.500 0.000 0.500
I 0.500 0.500 0.500

- Which value of E_form (uncorrected) does entry 3 give?
  1.99 eV/atom

- Among the records above, which one has the highest uncorrected energy?
  number 2